Li2MnFeB2O6 | PBE with a Hubbard U | relaxed

Results
* total moment: 17.88 Bohr magnetons per cell
* offset from the most stable computed form: 0.003 eV per atom
* energy: -7.11 eV per atom
* space-group type: P-1 (2)

Cell lengths 5.226, 8.247, 5.999 Å; angles 76.92, 88.82, 90.81 degrees
Positions (direct):
Li1 0.657 0.278 0.044
Li2 0.843 0.222 0.456
Li3 0.155 0.781 0.544
Li4 0.345 0.719 0.956
Mn1 0.326 0.079 0.683
Mn2 0.174 0.421 0.817
Fe1 0.834 0.586 0.175
Fe2 0.666 0.914 0.325
B1 0.172 0.095 0.169
B2 0.328 0.405 0.331
B3 0.675 0.597 0.662
B4 0.825 0.903 0.838
O1 0.912 0.118 0.181
O2 0.588 0.382 0.319
O3 0.674 0.808 0.020
O4 0.826 0.691 0.480
O5 0.203 0.515 0.156
O6 0.297 0.985 0.344
O7 0.179 0.313 0.515
O8 0.321 0.187 0.985
O9 0.711 0.018 0.665
O10 0.789 0.482 0.835
O11 0.416 0.626 0.671
O12 0.084 0.874 0.829